[1]
# AcPrPtO, optimized geometry, DFT GGA-PBE
data_AcPrPtO
_chemical_formula_sum 'Ac2 Pr2 Pt2 O2'
_space_group_name_H-M_alt 'P 4/n m m'
_space_group_IT_number 129
_cell_length_a 4.7621
_cell_length_b 4.7621
_cell_length_c 9.1391
_cell_angle_alpha 90.00
_cell_angle_beta 90.00
_cell_angle_gamma 90.00
loop_
_space_group_symop_operation_xyz
'x,y,z'
'-x,-y,-z'
'-y+1/2,x,z'
'y+1/2,-x,-z'
'-x+1/2,-y+1/2,z'
'x+1/2,y+1/2,-z'
'y,-x+1/2,z'
'-y,x+1/2,-z'
'x+1/2,-y,-z'
'-x+1/2,y,z'
'-y,-x,-z'
'y,x,z'
'-x,y+1/2,-z'
'x,-y+1/2,z'
'y+1/2,x+1/2,-z'
'-y+1/2,-x+1/2,z'
loop_
_atom_site_label
_atom_site_type_symbol
_atom_site_fract_x
_atom_site_fract_y
_atom_site_fract_z
_atom_site_occupancy
Ac1 Ac 0.2500 0.2500 0.1036 1
Pr1 Pr 0.2500 0.7500 0.5000 1
Pt1 Pt 0.2500 0.2500 0.6835 1
O1 O 0.2500 0.7500 0.0000 1
# energy relative to the elements, uncorrected = -1.75 eV/atom

---

[2]
# Ac2PrPtO5, optimized geometry, DFT GGA-PBE
data_Ac2PrPtO5
_chemical_formula_sum 'Ac4 Pr2 Pt2 O10'
_space_group_name_H-M_alt 'P 4/m b m'
_space_group_IT_number 127
_space_group_name_Hall '-P 4 2ab'
_cell_length_a 7.1332
_cell_length_b 7.1332
_cell_length_c 5.8346
_cell_angle_alpha 90.00
_cell_angle_beta 90.00
_cell_angle_gamma 90.00
loop_
_atom_site_label
_atom_site_type_symbol
_atom_site_fract_x
_atom_site_fract_y
_atom_site_fract_z
_atom_site_occupancy
Ac1 Ac 0.1706 0.3294 0.0000 1
Pr1 Pr 0.0000 0.0000 0.5000 1
Pt1 Pt 0.0000 0.5000 0.5000 1
O1 O 0.0000 0.0000 0.0000 1
O2 O 0.1464 0.6464 0.2599 1
# energy relative to the elements, uncorrected = -2.35 eV/atom

---

[3]
# AcPrPu2O8, optimized geometry, DFT GGA-PBE
data_AcPrPu2O8
_chemical_formula_sum 'Ac2 Pr2 Pu4 O16'
_space_group_name_H-M_alt 'I -4 m 2'
_space_group_IT_number 119
_space_group_name_Hall 'I -4 -2'
_cell_length_a 7.6797
_cell_length_b 7.6797
_cell_length_c 7.4848
_cell_angle_alpha 90.00
_cell_angle_beta 90.00
_cell_angle_gamma 90.00
loop_
_atom_site_label
_atom_site_type_symbol
_atom_site_fract_x
_atom_site_fract_y
_atom_site_fract_z
_atom_site_occupancy
Ac1 Ac 0.0000 0.0000 0.0000 1
Pr1 Pr 0.0000 0.5000 0.7500 1
Pu1 Pu 0.0000 0.0000 0.5000 1
Pu2 Pu 0.0000 0.5000 0.2500 1
O1 O 0.0000 0.1828 0.6942 1
O2 O 0.0000 0.3255 0.0486 1
# energy relative to the elements, uncorrected = -2.79 eV/atom

---

[4]
# AcPrPuO6, optimized geometry, DFT GGA-PBE
data_AcPrPuO6
_chemical_formula_sum 'Ac2 Pr2 Pu2 O12'
_space_group_name_H-M_alt 'P -3 1 c'
_space_group_IT_number 163
_space_group_name_Hall '-P 3 2c'
_cell_length_a 6.0121
_cell_length_b 6.0121
_cell_length_c 10.0445
_cell_angle_alpha 90.00
_cell_angle_beta 90.00
_cell_angle_gamma 120.00
loop_
_atom_site_label
_atom_site_type_symbol
_atom_site_fract_x
_atom_site_fract_y
_atom_site_fract_z
_atom_site_occupancy
Ac1 Ac 0.0000 0.0000 0.0000 1
Pr1 Pr 0.3333 0.6667 0.2500 1
Pu1 Pu 0.3333 0.6667 0.7500 1
O1 O 0.0393 0.3760 0.6387 1
# energy relative to the elements, uncorrected = -3.01 eV/atom

---

[5]
# RbAc4PrO8, optimized geometry, DFT GGA-PBE
data_RbAc4PrO8
_chemical_formula_sum 'Rb3 Ac12 Pr3 O24'
_space_group_name_H-M_alt 'R 3 m'
_space_group_IT_number 160
_space_group_name_Hall 'R 3 -2"'
_cell_length_a 7.6385
_cell_length_b 7.6385
_cell_length_c 18.3268
_cell_angle_alpha 90.00
_cell_angle_beta 90.00
_cell_angle_gamma 120.00
loop_
_atom_site_label
_atom_site_type_symbol
_atom_site_fract_x
_atom_site_fract_y
_atom_site_fract_z
_atom_site_occupancy
Rb1 Rb 0.0000 0.0000 0.0000 1
Ac1 Ac 0.0000 0.0000 0.2491 1
Ac2 Ac 0.1693 0.3386 0.4574 1
Pr1 Pr 0.0000 0.0000 0.6286 1
O1 O 0.0000 0.0000 0.3805 1
O2 O 0.0000 0.0000 0.8507 1
O3 O 0.0671 0.5335 0.3797 1
O4 O 0.1776 0.3552 0.2074 1
# energy relative to the elements, uncorrected = -3.01 eV/atom

---

[6]
# Rb3Ac2PrO6, optimized geometry, DFT GGA-PBE
data_Rb3Ac2PrO6
_chemical_formula_sum 'Rb6 Ac4 Pr2 O12'
_space_group_name_H-M_alt 'C 1 2/m 1'
_space_group_IT_number 12
_cell_length_a 6.6283
_cell_length_b 11.4857
_cell_length_c 7.0026
_cell_angle_alpha 90.00
_cell_angle_beta 108.36
_cell_angle_gamma 90.00
loop_
_space_group_symop_operation_xyz
'x,y,z'
'-x,-y,-z'
'-x,y,-z'
'x,-y,z'
'x+1/2,y+1/2,z'
'-x+1/2,-y+1/2,-z'
'-x+1/2,y+1/2,-z'
'x+1/2,-y+1/2,z'
loop_
_atom_site_label
_atom_site_type_symbol
_atom_site_fract_x
_atom_site_fract_y
_atom_site_fract_z
_atom_site_occupancy
Rb1 Rb 0.0000 0.0000 0.0000 1
Rb2 Rb 0.0000 0.3361 0.0000 1
Ac1 Ac 0.0000 0.1668 0.5000 1
Pr1 Pr 0.0000 0.5000 0.5000 1
O1 O 0.2233 0.3380 0.6839 1
O2 O 0.2372 0.0000 0.6838 1
# energy relative to the elements, uncorrected = -2.52 eV/atom

---

[7]
# Rb2AcPrO4, optimized geometry, DFT GGA-PBE
data_Rb2AcPrO4
_chemical_formula_sum 'Rb2 Ac1 Pr1 O4'
_space_group_name_H-M_alt 'P 1 2/m 1'
_space_group_IT_number 10
_cell_length_a 6.5819
_cell_length_b 3.7939
_cell_length_c 6.9930
_cell_angle_alpha 90.00
_cell_angle_beta 108.27
_cell_angle_gamma 90.00
loop_
_space_group_symop_operation_xyz
'x,y,z'
'-x,-y,-z'
'-x,y,-z'
'x,-y,z'
loop_
_atom_site_label
_atom_site_type_symbol
_atom_site_fract_x
_atom_site_fract_y
_atom_site_fract_z
_atom_site_occupancy
Rb1 Rb 0.0000 0.0000 0.0000 1
Rb2 Rb 0.5000 0.5000 0.0000 1
Ac1 Ac 0.0000 0.5000 0.5000 1
Pr1 Pr 0.5000 0.0000 0.5000 1
O1 O 0.2368 0.0000 0.6841 1
O2 O 0.2796 0.5000 0.3176 1
# energy relative to the elements, uncorrected = -2.52 eV/atom

---

[8]
# Rb4AcPr3O8, optimized geometry, DFT GGA-PBE
data_Rb4AcPr3O8
_chemical_formula_sum 'Rb12 Ac3 Pr9 O24'
_space_group_name_H-M_alt 'R -3 m'
_space_group_IT_number 166
_space_group_name_Hall '-R 3 2"'
_cell_length_a 7.4981
_cell_length_b 7.4981
_cell_length_c 19.8951
_cell_angle_alpha 90.00
_cell_angle_beta 90.00
_cell_angle_gamma 120.00
loop_
_atom_site_label
_atom_site_type_symbol
_atom_site_fract_x
_atom_site_fract_y
_atom_site_fract_z
_atom_site_occupancy
Rb1 Rb 0.0000 0.0000 0.0000 1
Rb2 Rb 0.0000 0.5000 0.0000 1
Ac1 Ac 0.0000 0.0000 0.5000 1
Pr1 Pr 0.0000 0.5000 0.5000 1
O1 O 0.0000 0.0000 0.2272 1
O2 O 0.0073 0.5037 0.7723 1
# energy relative to the elements, uncorrected = -2.52 eV/atom

---

[9]
# AcPr2ReO8, optimized geometry, DFT GGA-PBE
data_AcPr2ReO8
_chemical_formula_sum 'Ac1 Pr2 Re1 O8'
_space_group_name_H-M_alt 'P 1 2/m 1'
_space_group_IT_number 10
_cell_length_a 5.2705
_cell_length_b 7.2007
_cell_length_c 5.2743
_cell_angle_alpha 90.00
_cell_angle_beta 90.75
_cell_angle_gamma 90.00
loop_
_space_group_symop_operation_xyz
'x,y,z'
'-x,-y,-z'
'-x,y,-z'
'x,-y,z'
loop_
_atom_site_label
_atom_site_type_symbol
_atom_site_fract_x
_atom_site_fract_y
_atom_site_fract_z
_atom_site_occupancy
Ac1 Ac 0.0000 0.0000 0.0000 1
Pr1 Pr 0.5000 0.2537 0.5000 1
Re1 Re 0.0000 0.5000 0.0000 1
O1 O 0.1780 0.3066 0.1787 1
O2 O 0.2529 0.5000 0.7485 1
O3 O 0.3176 0.0000 0.6838 1
# energy relative to the elements, uncorrected = -2.66 eV/atom

---

[10]
# AcPrS2O8, optimized geometry, DFT GGA-PBE
data_AcPrS2O8
_chemical_formula_sum 'Ac1 Pr1 S2 O8'
_space_group_name_H-M_alt 'P -3 m 1'
_space_group_IT_number 164
_space_group_name_Hall '-P 3 2"'
_cell_length_a 5.1203
_cell_length_b 5.1203
_cell_length_c 8.6430
_cell_angle_alpha 90.00
_cell_angle_beta 90.00
_cell_angle_gamma 120.00
loop_
_atom_site_label
_atom_site_type_symbol
_atom_site_fract_x
_atom_site_fract_y
_atom_site_fract_z
_atom_site_occupancy
Ac1 Ac 0.0000 0.0000 0.0000 1
Pr1 Pr 0.0000 0.0000 0.5000 1
S1 S 0.3333 0.6667 0.1996 1
O1 O 0.1738 0.3475 0.2494 1
O2 O 0.3333 0.6667 0.0236 1
# energy relative to the elements, uncorrected = -1.92 eV/atom

---

[11]
# Ac2PrS2O2, optimized geometry, DFT GGA-PBE
data_Ac2PrS2O2
_chemical_formula_sum 'Ac4 Pr2 S4 O4'
_space_group_name_H-M_alt 'I 4/m m m'
_space_group_IT_number 139
_space_group_name_Hall '-I 4 2'
_cell_length_a 4.5477
_cell_length_b 4.5477
_cell_length_c 15.7301
_cell_angle_alpha 90.00
_cell_angle_beta 90.00
_cell_angle_gamma 90.00
loop_
_atom_site_label
_atom_site_type_symbol
_atom_site_fract_x
_atom_site_fract_y
_atom_site_fract_z
_atom_site_occupancy
Ac1 Ac 0.0000 0.0000 0.1348 1
Pr1 Pr 0.0000 0.0000 0.5000 1
S1 S 0.0000 0.0000 0.3205 1
O1 O 0.0000 0.5000 0.0000 1
# energy relative to the elements, uncorrected = -2.37 eV/atom

---

[12]
# AcPrSb2O8, optimized geometry, DFT GGA-PBE
data_AcPrSb2O8
_chemical_formula_sum 'Ac2 Pr2 Sb4 O16'
_space_group_name_H-M_alt 'I -4'
_space_group_IT_number 82
_cell_length_a 5.5029
_cell_length_b 5.5029
_cell_length_c 11.9362
_cell_angle_alpha 90.00
_cell_angle_beta 90.00
_cell_angle_gamma 90.00
loop_
_space_group_symop_operation_xyz
'x,y,z'
'y,-x,-z'
'-x,-y,z'
'-y,x,-z'
'x+1/2,y+1/2,z+1/2'
'y+1/2,-x+1/2,-z+1/2'
'-x+1/2,-y+1/2,z+1/2'
'-y+1/2,x+1/2,-z+1/2'
loop_
_atom_site_label
_atom_site_type_symbol
_atom_site_fract_x
_atom_site_fract_y
_atom_site_fract_z
_atom_site_occupancy
Ac1 Ac 0.0000 0.0000 0.0000 1
Pr1 Pr 0.0000 0.5000 0.7500 1
Sb1 Sb 0.0000 0.0000 0.5000 1
Sb2 Sb 0.0000 0.5000 0.2500 1
O1 O 0.1563 0.2490 0.5865 1
O2 O 0.1698 0.7462 0.1674 1
# energy relative to the elements, uncorrected = -2.29 eV/atom

---

Copy entry 12 word for word.
# AcPrSb2O8, optimized geometry, DFT GGA-PBE
data_AcPrSb2O8
_chemical_formula_sum 'Ac2 Pr2 Sb4 O16'
_space_group_name_H-M_alt 'I -4'
_space_group_IT_number 82
_cell_length_a 5.5029
_cell_length_b 5.5029
_cell_length_c 11.9362
_cell_angle_alpha 90.00
_cell_angle_beta 90.00
_cell_angle_gamma 90.00
loop_
_space_group_symop_operation_xyz
'x,y,z'
'y,-x,-z'
'-x,-y,z'
'-y,x,-z'
'x+1/2,y+1/2,z+1/2'
'y+1/2,-x+1/2,-z+1/2'
'-x+1/2,-y+1/2,z+1/2'
'-y+1/2,x+1/2,-z+1/2'
loop_
_atom_site_label
_atom_site_type_symbol
_atom_site_fract_x
_atom_site_fract_y
_atom_site_fract_z
_atom_site_occupancy
Ac1 Ac 0.0000 0.0000 0.0000 1
Pr1 Pr 0.0000 0.5000 0.7500 1
Sb1 Sb 0.0000 0.0000 0.5000 1
Sb2 Sb 0.0000 0.5000 0.2500 1
O1 O 0.1563 0.2490 0.5865 1
O2 O 0.1698 0.7462 0.1674 1
# energy relative to the elements, uncorrected = -2.29 eV/atom